First-principles (PBE-GGA) data for a geometry-optimized DyScPdRu structure, as listed in the Alexandria database.

Summary:
E_tot (Ry per atom): -0.5170
Spin magnetization (μB per formula unit): 0.00
Density of states at the Fermi level (states/eV/cell): 1.5
Space-group type: F-43m (216)

a = 4.741 Å, b = 4.741 Å, c = 4.741 Å
α = 60.00°, β = 60.00°, γ = 60.00°
Element x y z (fractional)
Dy1 0.000 0.000 0.000
Sc1 0.500 0.500 0.500
Pd1 0.750 0.750 0.750
Ru1 0.250 0.250 0.250


First-principles (PBE-GGA) data for a geometry-optimized CuTe structure, as listed in the Alexandria database.

Summary:
E_tot (Ry per atom): -0.2686
Formation energy (no corrections) (meV/atom): -36
Spin magnetization (μB per formula unit): 0.00
Density of states at the Fermi level (states/eV/cell): 3.8
Space-group type: P-43m (215)

a = 5.732 Å, b = 5.732 Å, c = 5.732 Å
α = 90.00°, β = 90.00°, γ = 90.00°
Element x y z (fractional)
Cu1 0.000 0.000 0.000
Cu2 0.000 0.000 0.500
Cu3 0.000 0.500 0.000
Cu4 0.500 0.000 0.000
Te1 0.272 0.272 0.272
Te2 0.272 0.728 0.728
Te3 0.728 0.272 0.728
Te4 0.728 0.728 0.272


First-principles (PBE-GGA) data for a geometry-optimized NaPr2Cu structure, as listed in the Alexandria database.

Summary:
E_tot (Ry per atom): -0.2714
Spin magnetization (μB per formula unit): 0.47
Relative energy among the computed polymorphs (meV/atom): 0
Density of states at the Fermi level (states/eV/cell): 5.5
Space-group type: P4/mmm (123)

a = 3.595 Å, b = 3.595 Å, c = 9.358 Å
α = 90.00°, β = 90.00°, γ = 90.00°
Element x y z (fractional)
Na1 0.000 0.000 0.000
Pr1 0.500 0.500 0.313
Pr2 0.500 0.500 0.687
Cu1 0.000 0.000 0.500


First-principles (PBE-GGA) data for a geometry-optimized Li4ZnNi structure, as listed in the Alexandria database.

Summary:
E_tot (Ry per atom): -0.1696
Spin magnetization (μB per formula unit): 0.00
Relative energy among the computed polymorphs (meV/atom): 191
Density of states at the Fermi level (states/eV/cell): 2.8
Space-group type: F-43m (216)

a = 4.848 Å, b = 4.848 Å, c = 4.848 Å
α = 60.00°, β = 60.00°, γ = 60.00°
Element x y z (fractional)
Li1 0.376 0.376 0.376
Li2 0.376 0.376 0.872
Li3 0.376 0.872 0.376
Li4 0.872 0.376 0.376
Zn1 0.000 0.000 0.000
Ni1 0.750 0.750 0.750


First-principles (PBE-GGA) data for a geometry-optimized ReBiI2N structure, as listed in the Alexandria database.

Summary:
E_tot (Ry per atom): -0.3693
Formation energy (no corrections) (meV/atom): 527
Spin magnetization (μB per formula unit): 0.00
Relative energy among the computed polymorphs (meV/atom): 0
Density of states at the Fermi level (states/eV/cell): 5.6
Space-group type: P4/mmm (123)

a = 5.720 Å, b = 5.720 Å, c = 3.799 Å
α = 90.00°, β = 90.00°, γ = 90.00°
Element x y z (fractional)
Re1 0.000 0.000 0.000
Bi1 0.500 0.500 0.500
I1 0.000 0.500 0.000
I2 0.500 0.000 0.000
N1 0.000 0.000 0.500


First-principles (PBE-GGA) data for a geometry-optimized MgCu2Au structure, as listed in the Alexandria database.

Summary:
E_tot (Ry per atom): -0.2483
Spin magnetization (μB per formula unit): 0.00
Density of states at the Fermi level (states/eV/cell): 0.9
Space-group type: Cmmm (65)

a = 4.663 Å, b = 4.663 Å, c = 2.917 Å
α = 90.00°, β = 90.00°, γ = 107.58°
Element x y z (fractional)
Mg1 0.000 0.000 0.000
Cu1 0.000 0.500 0.500
Cu2 0.500 0.000 0.500
Au1 0.500 0.500 0.000


First-principles (PBE-GGA) data for a geometry-optimized HfNiPtRh2 structure, as listed in the Alexandria database.

Summary:
E_tot (Ry per atom): -0.4587
Spin magnetization (μB per formula unit): 0.00
Density of states at the Fermi level (states/eV/cell): 4.4
Space-group type: P4/mmm (123)

a = 4.679 Å, b = 4.679 Å, c = 4.476 Å
α = 90.00°, β = 90.00°, γ = 90.00°
Element x y z (fractional)
Hf1 0.000 0.000 0.000
Ni1 0.000 0.000 0.500
Pt1 0.500 0.500 0.500
Rh1 0.000 0.500 0.000
Rh2 0.500 0.000 0.000


First-principles (PBE-GGA) data for a geometry-optimized PmPaRhN3 structure, as listed in the Alexandria database.

Summary:
E_tot (Ry per atom): -0.6387
Formation energy (no corrections) (meV/atom): -927
Spin magnetization (μB per formula unit): 0.00
Density of states at the Fermi level (states/eV/cell): 3.2
Space-group type: P2_1/m (11)

a = 7.183 Å, b = 3.449 Å, c = 7.737 Å
α = 90.00°, β = 97.78°, γ = 90.00°
Element x y z (fractional)
Pm1 0.151 0.250 0.197
Pm2 0.849 0.750 0.803
Pa1 0.350 0.750 0.831
Pa2 0.650 0.250 0.169
Rh1 0.123 0.250 0.582
Rh2 0.877 0.750 0.418
N1 0.138 0.250 0.872
N2 0.169 0.750 0.431
N3 0.427 0.750 0.125
N4 0.573 0.250 0.875
N5 0.831 0.250 0.569
N6 0.862 0.750 0.128


First-principles (PBE-GGA) data for a geometry-optimized NdEr5Tm structure, as listed in the Alexandria database.

Summary:
E_tot (Ry per atom): -0.3319
Spin magnetization (μB per formula unit): 0.01
Relative energy among the computed polymorphs (meV/atom): 0
Density of states at the Fermi level (states/eV/cell): 21.6
Space-group type: P2_1/m (11)

a = 9.210 Å, b = 3.573 Å, c = 13.760 Å
α = 90.00°, β = 103.18°, γ = 90.00°
Element x y z (fractional)
Nd1 0.106 0.250 0.127
Nd2 0.894 0.750 0.873
Er1 0.001 0.750 0.375
Er2 0.206 0.250 0.883
Er3 0.325 0.250 0.510
Er4 0.349 0.750 0.723
Er5 0.417 0.750 0.080
Er6 0.583 0.250 0.920
Er7 0.651 0.250 0.277
Er8 0.675 0.750 0.490
Er9 0.794 0.750 0.117
Er10 0.999 0.250 0.625
Tm1 0.348 0.750 0.307
Tm2 0.652 0.250 0.693


First-principles (PBE-GGA) data for a geometry-optimized Ag2Se4I3 structure, as listed in the Alexandria database.

Summary:
E_tot (Ry per atom): -0.1991
Formation energy (no corrections) (meV/atom): -10
Spin magnetization (μB per formula unit): 0.00
Density of states at the Fermi level (states/eV/cell): 2.9
Space-group type: P-1 (2)

a = 4.246 Å, b = 6.722 Å, c = 11.933 Å
α = 85.44°, β = 87.96°, γ = 72.19°
Element x y z (fractional)
Ag1 0.163 0.193 0.398
Ag2 0.837 0.807 0.602
Se1 0.318 0.929 0.050
Se2 0.465 0.548 0.590
Se3 0.535 0.452 0.410
Se4 0.682 0.071 0.950
I1 0.204 0.067 0.668
I2 0.500 0.500 0.000
I3 0.796 0.933 0.332


First-principles (PBE-GGA) data for a geometry-optimized Tb3Ag structure, as listed in the Alexandria database.

Summary:
E_tot (Ry per atom): -0.3156
Spin magnetization (μB per formula unit): 0.00
Relative energy among the computed polymorphs (meV/atom): 0
Density of states at the Fermi level (states/eV/cell): 5.8
Space-group type: Imm2 (44)

a = 6.481 Å, b = 6.481 Å, c = 6.481 Å
α = 146.30°, β = 60.80°, γ = 130.99°
Element x y z (fractional)
Tb1 0.000 0.000 0.000
Tb2 0.280 0.499 0.781
Tb3 0.718 0.499 0.219
Ag1 0.501 0.001 0.500


First-principles (PBE-GGA) data for a geometry-optimized La3PmEr7 structure, as listed in the Alexandria database.

Summary:
E_tot (Ry per atom): -0.3241
Spin magnetization (μB per formula unit): 0.00
Relative energy among the computed polymorphs (meV/atom): 52
Density of states at the Fermi level (states/eV/cell): 15.1
Space-group type: C2/m (12)

a = 8.481 Å, b = 8.481 Å, c = 5.859 Å
α = 110.14°, β = 110.14°, γ = 83.09°
Element x y z (fractional)
La1 0.000 0.000 0.000
La2 0.214 0.786 0.500
La3 0.786 0.214 0.500
Pm1 0.500 0.500 0.000
Er1 0.014 0.405 0.209
Er2 0.207 0.207 0.706
Er3 0.405 0.014 0.209
Er4 0.500 0.500 0.500
Er5 0.595 0.986 0.791
Er6 0.793 0.793 0.294
Er7 0.986 0.595 0.791